1.
! PBE-GGA Ho2ErTl3AgIr2, relaxed; values from VASP
! Total DFT energy (no corrections) = -0.369 Ry per atom
! Size of the total moment = 0.01 Bohr magnetons per cell
&SYSTEM
  ibrav = 0, nat = 9, ntyp = 5
/
ATOMIC_SPECIES
Ho 164.93 Ho.upf
Er 167.26 Er.upf
Tl 204.38 Tl.upf
Ag 107.87 Ag.upf
Ir 192.22 Ir.upf
CELL_PARAMETERS angstrom
3.759 0.000 0.000
0.000 6.786 3.921
0.000 -6.786 3.921
ATOMIC_POSITIONS crystal
Ho 0.000 0.205 0.795
Ho 0.000 0.795 0.205
Er 0.000 0.385 0.385
Tl 0.500 0.068 0.068
Tl 0.500 0.523 0.795
Tl 0.500 0.795 0.523
Ag 0.000 0.795 0.795
Ir 0.500 0.130 0.462
Ir 0.500 0.462 0.130

=====

2.
! PBE-GGA Ho2ErZn3AgIr2, relaxed; values from VASP
! ΔE_f = -5.46 eV/f.u.
! Size of the total moment = 0.02 Bohr magnetons per cell
&SYSTEM
  ibrav = 0, nat = 9, ntyp = 5
/
ATOMIC_SPECIES
Ho 164.93 Ho.upf
Er 167.26 Er.upf
Zn 65.41 Zn.upf
Ag 107.87 Ag.upf
Ir 192.22 Ir.upf
CELL_PARAMETERS angstrom
3.803 0.000 0.000
0.000 6.303 3.644
0.000 -6.303 3.644
ATOMIC_POSITIONS crystal
Ho 0.000 0.208 0.792
Ho 0.000 0.792 0.208
Er 0.000 0.377 0.377
Zn 0.500 0.057 0.057
Zn 0.500 0.528 0.792
Zn 0.500 0.792 0.528
Ag 0.000 0.792 0.792
Ir 0.500 0.127 0.459
Ir 0.500 0.459 0.127

=====

3.
! PBE-GGA HoEr2Tl3AgPd2, relaxed; values from VASP
! Total DFT energy (no corrections) = -0.317 Ry per atom
! Size of the total moment = 0.02 Bohr magnetons per cell
&SYSTEM
  ibrav = 0, nat = 9, ntyp = 5
/
ATOMIC_SPECIES
Ho 164.93 Ho.upf
Er 167.26 Er.upf
Tl 204.38 Tl.upf
Ag 107.87 Ag.upf
Pd 106.42 Pd.upf
CELL_PARAMETERS angstrom
3.736 0.000 0.000
0.000 6.851 3.955
0.000 -6.851 3.955
ATOMIC_POSITIONS crystal
Ho 0.000 0.000 0.000
Er 0.000 0.405 0.811
Er 0.000 0.811 0.405
Tl 0.500 0.130 0.405
Tl 0.500 0.405 0.130
Tl 0.500 0.680 0.680
Ag 0.000 0.406 0.406
Pd 0.500 0.072 0.738
Pd 0.500 0.738 0.072

=====

4.
! PBE-GGA Ho2ErTl3AgPd2, relaxed; values from VASP
! Total DFT energy (no corrections) = -0.317 Ry per atom
! Size of the total moment = 0.02 Bohr magnetons per cell
&SYSTEM
  ibrav = 0, nat = 9, ntyp = 5
/
ATOMIC_SPECIES
Ho 164.93 Ho.upf
Er 167.26 Er.upf
Tl 204.38 Tl.upf
Ag 107.87 Ag.upf
Pd 106.42 Pd.upf
CELL_PARAMETERS angstrom
3.742 0.000 0.000
0.000 6.853 3.957
0.000 -6.853 3.957
ATOMIC_POSITIONS crystal
Ho 0.000 0.203 0.797
Ho 0.000 0.797 0.203
Er 0.000 0.609 0.609
Tl 0.500 0.203 0.477
Tl 0.500 0.477 0.203
Tl 0.500 0.928 0.928
Ag 0.000 0.203 0.203
Pd 0.500 0.536 0.869
Pd 0.500 0.869 0.536

=====

5.
! PBE-GGA Ho2ErTl3AgPt2, relaxed; values from VASP
! Total DFT energy (no corrections) = -0.340 Ry per atom
! Size of the total moment = 0.04 Bohr magnetons per cell
&SYSTEM
  ibrav = 0, nat = 9, ntyp = 5
/
ATOMIC_SPECIES
Ho 164.93 Ho.upf
Er 167.26 Er.upf
Tl 204.38 Tl.upf
Ag 107.87 Ag.upf
Pt 195.08 Pt.upf
CELL_PARAMETERS angstrom
3.740 0.000 0.000
0.000 6.853 3.960
0.000 -6.853 3.960
ATOMIC_POSITIONS crystal
Ho 0.000 0.205 0.795
Ho 0.000 0.795 0.205
Er 0.000 0.385 0.385
Tl 0.500 0.066 0.066
Tl 0.500 0.524 0.795
Tl 0.500 0.795 0.524
Ag 0.000 0.795 0.795
Pt 0.500 0.129 0.462
Pt 0.500 0.462 0.129

=====

6.
! PBE-GGA HoErAg2Sb4, relaxed; values from VASP
! Total DFT energy (no corrections) = -0.331 Ry per atom
! Size of the total moment = 0.00 Bohr magnetons per cell
&SYSTEM
  ibrav = 0, nat = 8, ntyp = 4
/
ATOMIC_SPECIES
Ho 164.93 Ho.upf
Er 167.26 Er.upf
Ag 107.87 Ag.upf
Sb 121.76 Sb.upf
CELL_PARAMETERS angstrom
4.321 0.000 0.000
0.000 4.321 0.000
0.000 0.000 10.395
ATOMIC_POSITIONS crystal
Ho 0.000 0.000 0.000
Er 0.500 0.500 0.529
Ag 0.000 0.500 0.265
Ag 0.500 0.000 0.265
Sb 0.000 0.000 0.451
Sb 0.000 0.500 0.764
Sb 0.500 0.000 0.764
Sb 0.500 0.500 0.078

=====

7.
! PBE-GGA HoEr2Tm3AgTe2, relaxed; values from VASP
! Total DFT energy (no corrections) = -0.342 Ry per atom
! Size of the total moment = 0.00 Bohr magnetons per cell
&SYSTEM
  ibrav = 0, nat = 9, ntyp = 5
/
ATOMIC_SPECIES
Ho 164.93 Ho.upf
Er 167.26 Er.upf
Tm 168.93 Tm.upf
Ag 107.87 Ag.upf
Te 127.60 Te.upf
CELL_PARAMETERS angstrom
3.937 0.000 0.000
0.000 7.258 4.194
0.000 -7.258 4.194
ATOMIC_POSITIONS crystal
Ho 0.000 0.000 0.000
Er 0.000 0.402 0.804
Er 0.000 0.804 0.402
Tm 0.500 0.148 0.402
Tm 0.500 0.402 0.148
Tm 0.500 0.657 0.657
Ag 0.000 0.403 0.403
Te 0.500 0.069 0.736
Te 0.500 0.736 0.069

=====

8.
! PBE-GGA Er5In4Ag, relaxed; values from VASP
! Total DFT energy (no corrections) = -0.300 Ry per atom
! Size of the total moment = 0.19 Bohr magnetons per cell
&SYSTEM
  ibrav = 0, nat = 10, ntyp = 3
/
ATOMIC_SPECIES
Er 167.26 Er.upf
In 114.82 In.upf
Ag 107.87 Ag.upf
CELL_PARAMETERS angstrom
3.553 0.000 0.000
0.000 3.553 0.000
0.000 0.000 20.134
ATOMIC_POSITIONS crystal
Er 0.000 0.000 0.000
Er 0.000 0.000 0.206
Er 0.000 0.000 0.410
Er 0.000 0.000 0.590
Er 0.000 0.000 0.794
In 0.500 0.500 0.103
In 0.500 0.500 0.308
In 0.500 0.500 0.692
In 0.500 0.500 0.897
Ag 0.500 0.500 0.500